A plane-wave DFT calculation with PBE+U was carried out for a relaxed MoIr3O crystal.

Values from the calculation:
Mass density, Mg/m³: 10.7
Total magnetization, μB per formula unit: 2.6
E_tot, eV for the cell shown: -25.9

Lattice parameters (Å, degrees): 4.748 4.748 4.748 90.00 90.00 90.00
Positions (direct):
Mo 0.000 0.000 0.000
Ir 0.000 0.500 0.000
Ir 0.000 0.000 0.500
Ir 0.500 0.000 0.000
O 0.500 0.500 0.500